[1]
This record from Alexandria via LeMat-Bulk describes Li2PPd5 after structural relaxation. The functional is PBE-GGA.

Magnetic moment in μB/f.u.: 0.00
DOS(E_F) in states/eV/atom: 0.271
DFT formation energy in meV per atom: -533
Energy relative to the lowest polymorph listed for this composition in meV per atom: 0
Symmetry: Pbam

```
16
Lattice="5.3371 0.0000 0.0000 0.0000 10.1764 0.0000 0.0000 0.0000 4.0552" Properties=species:S:1:pos:R:3 pbc="T T T"
Li 0.8149 1.4468 0.0000
Li 1.8537 6.5350 0.0000
Li 3.4835 3.6414 0.0000
Li 4.5222 8.7296 0.0000
P 0.0000 5.0882 2.0276
P 2.6686 0.0000 2.0276
Pd 0.0000 0.0000 2.0276
Pd 0.5453 7.4003 2.0276
Pd 0.9424 4.0459 0.0000
Pd 1.7261 9.1341 0.0000
Pd 2.1233 2.3121 2.0276
Pd 2.6686 5.0882 2.0276
Pd 3.2138 7.8643 2.0276
Pd 3.6110 1.0423 0.0000
Pd 4.3947 6.1305 0.0000
Pd 4.7918 2.7761 2.0276
```

***

[2]
This record from Alexandria via LeMat-Bulk describes BaRuBr6 after structural relaxation. The functional is PBE-GGA.

Magnetic moment in μB/f.u.: 2.01
Energy relative to the elements, uncorrected in meV/atom: -891
DOS(E_F) in states/eV/atom: 0.750
Symmetry: P-1

```
8
Lattice="6.9704 0.0000 0.0000 -3.4755 6.0639 0.0000 -3.4682 -2.0081 6.4115" Properties=species:S:1:pos:R:3 pbc="T T T"
Ba 0.0000 0.0000 0.0000
Ru -3.4718 2.0279 3.2058
Br -1.4448 2.4103 1.7791
Br -2.1312 0.4623 4.6340
Br -2.7898 3.9711 4.6373
Br 2.8165 0.0847 1.7742
Br 2.1579 3.5935 1.7776
Br 1.4716 1.6455 4.6324
```

***

[3]
This record from Alexandria via LeMat-Bulk describes La2Rh3Au after structural relaxation. The functional is PBE-GGA.

Magnetic moment in μB/f.u.: 0.00
DOS(E_F) in states/eV/atom: 0.669
DFT formation energy in meV per atom: -684
Symmetry: R-3m

```
6
Lattice="2.7856 1.6083 4.4274 -2.7856 1.6083 4.4274 0.0000 -3.2166 4.4274" Properties=species:S:1:pos:R:3 pbc="T T T"
La 0.0000 0.0000 1.6498
La 0.0000 0.0000 11.6323
Rh -1.3928 -0.8041 4.4274
Rh -1.3928 0.8041 8.8548
Rh 0.0000 1.6083 4.4274
Au 0.0000 0.0000 6.6411
```

***

[4]
This record from Alexandria via LeMat-Bulk describes Dy2YAl9 after structural relaxation. The functional is PBE-GGA.

Magnetic moment in μB/f.u.: 0.00
DOS(E_F) in states/eV/atom: 0.411
DFT formation energy in meV per atom: -422
Energy relative to the lowest polymorph listed for this composition in meV per atom: 0
Symmetry: P4/mmm

```
12
Lattice="4.2587 0.0000 0.0000 0.0000 4.2587 0.0000 0.0000 0.0000 12.7768" Properties=species:S:1:pos:R:3 pbc="T T T"
Dy 0.0000 0.0000 2.1274
Dy 0.0000 0.0000 10.6495
Y 0.0000 0.0000 6.3884
Al 0.0000 2.1293 0.0000
Al 0.0000 2.1293 4.2537
Al 0.0000 2.1293 8.5231
Al 2.1293 0.0000 0.0000
Al 2.1293 0.0000 4.2537
Al 2.1293 0.0000 8.5231
Al 2.1293 2.1293 2.1266
Al 2.1293 2.1293 6.3884
Al 2.1293 2.1293 10.6502
```

***

[5]
This record from Alexandria via LeMat-Bulk describes Ba3GeP4 after structural relaxation. The functional is PBE-GGA.

Magnetic moment in μB/f.u.: 0.00
DFT formation energy in meV per atom: -800
Symmetry: Pnma

```
32
Lattice="8.5318 0.0000 0.0000 0.0000 10.8368 0.0000 0.0000 0.0000 10.0076" Properties=species:S:1:pos:R:3 pbc="T T T"
Ba 0.3549 0.5094 1.8879
Ba 0.3549 4.9090 1.8879
Ba 1.3932 8.1276 4.1470
Ba 2.8727 2.7092 9.1508
Ba 3.9110 5.9277 6.8917
Ba 3.9110 10.3274 6.8917
Ba 4.6208 0.5094 3.1159
Ba 4.6208 4.9090 3.1159
Ba 5.6590 8.1276 0.8568
Ba 7.1386 2.7092 5.8606
Ba 8.1769 5.9277 8.1197
Ba 8.1769 10.3274 8.1197
Ge 1.9623 2.7092 4.5056
Ge 2.3035 8.1276 9.5094
Ge 6.2282 2.7092 0.4982
Ge 6.5694 8.1276 5.5020
P 0.4217 8.1276 0.8584
P 1.0044 0.4544 5.2810
P 1.0044 4.9640 5.2810
P 1.7544 8.1276 7.2813
P 2.5115 2.7092 2.2775
P 3.2615 5.8728 0.2772
P 3.2615 10.3824 0.2772
P 3.8442 2.7092 5.8622
P 4.6875 8.1276 4.1454
P 5.2703 0.4544 9.7304
P 5.2703 4.9640 9.7304
P 6.0203 8.1276 7.7300
P 6.7774 2.7092 2.7262
P 7.5274 5.8728 4.7266
P 7.5274 10.3824 4.7266
P 8.1101 2.7092 9.1492
```

***

[6]
This record from Alexandria via LeMat-Bulk describes PrZn2In after structural relaxation. The functional is PBE-GGA.

Magnetic moment in μB/f.u.: 0.00
DOS(E_F) in states/eV/atom: 0.448
DFT formation energy in meV per atom: -159
Symmetry: Amm2

```
8
Lattice="3.2940 0.0000 0.0000 0.0000 6.1893 0.0000 0.0000 0.0000 9.3225" Properties=species:S:1:pos:R:3 pbc="T T T"
Pr 0.0000 0.0000 0.0000
Pr 0.0000 3.0946 4.6612
Zn 1.6470 1.2979 2.4998
Zn 1.6470 1.7967 7.1611
Zn 1.6470 4.3925 7.1611
Zn 1.6470 4.8914 2.4998
In 1.6470 0.0000 5.0412
In 1.6470 3.0946 0.3800
```

***

[7]
This record from Alexandria via LeMat-Bulk describes BaNaEuGe after structural relaxation. The functional is PBE-GGA.

Magnetic moment in μB/f.u.: 7.11
DOS(E_F) in states/eV/atom: 3.225
DFT formation energy in meV per atom: -248
Symmetry: F-43m

```
16
Lattice="8.0937 0.0000 0.0000 0.0000 8.0937 0.0000 0.0000 0.0000 8.0937" Properties=species:S:1:pos:R:3 pbc="T T T"
Ba 0.0000 0.0000 0.0000
Ba 0.0000 4.0468 4.0468
Ba 4.0468 0.0000 4.0468
Ba 4.0468 4.0468 0.0000
Na 2.0234 2.0234 2.0234
Na 2.0234 6.0703 6.0703
Na 6.0703 2.0234 6.0703
Na 6.0703 6.0703 2.0234
Eu 0.0000 0.0000 4.0468
Eu 0.0000 4.0468 0.0000
Eu 4.0468 0.0000 0.0000
Eu 4.0468 4.0468 4.0468
Ge 2.0234 2.0234 6.0703
Ge 2.0234 6.0703 2.0234
Ge 6.0703 2.0234 2.0234
Ge 6.0703 6.0703 6.0703
```

***

[8]
This record from Alexandria via LeMat-Bulk describes Sc2Si2Sn after structural relaxation. The functional is PBE-GGA.

Magnetic moment in μB/f.u.: 0.00
Energy relative to the elements, uncorrected in meV/atom: -498
DOS(E_F) in states/eV/atom: 0.654
Symmetry: I4/mmm

```
10
Lattice="3.5272 0.0000 0.0000 0.0000 3.5272 0.0000 0.0000 0.0000 16.3189" Properties=species:S:1:pos:R:3 pbc="T T T"
Sc 0.0000 0.0000 1.9074
Sc 0.0000 0.0000 14.4116
Sc 1.7636 1.7636 6.2521
Sc 1.7636 1.7636 10.0669
Si 0.0000 1.7636 4.0797
Si 0.0000 1.7636 12.2392
Si 1.7636 0.0000 4.0797
Si 1.7636 0.0000 12.2392
Sn 0.0000 0.0000 8.1595
Sn 1.7636 1.7636 0.0000
```

***

[9]
This record from Alexandria via LeMat-Bulk describes Co2CuOs2 after structural relaxation. The functional is PBE-GGA.

Magnetic moment in μB/f.u.: 0.00
DOS(E_F) in states/eV/atom: 1.100
DFT formation energy in meV per atom: 427
Symmetry: P4/mbm

```
10
Lattice="7.1216 0.0000 0.0000 0.0000 7.1216 0.0000 0.0000 0.0000 2.5811" Properties=species:S:1:pos:R:3 pbc="T T T"
Co 0.8339 2.7269 0.0000
Co 2.7269 6.2877 0.0000
Co 4.3947 0.8339 0.0000
Co 6.2877 4.3947 0.0000
Cu 0.0000 0.0000 0.0000
Cu 3.5608 3.5608 0.0000
Os 1.2621 4.8229 1.2905
Os 2.2986 1.2621 1.2905
Os 4.8229 5.8594 1.2905
Os 5.8594 2.2986 1.2905
```

***

[10]
This record from Alexandria via LeMat-Bulk describes LaGeAsBr2 after structural relaxation. The functional is PBE-GGA.

Magnetic moment in μB/f.u.: 0.29
Energy relative to the elements, uncorrected in meV/atom: -486
DOS(E_F) in states/eV/atom: 0.762
Energy relative to the lowest polymorph listed for this composition in meV per atom: 0
Symmetry: P4/mmm

```
5
Lattice="5.2035 0.0000 0.0000 0.0000 5.2035 0.0000 0.0000 0.0000 5.2754" Properties=species:S:1:pos:R:3 pbc="T T T"
La 0.0000 0.0000 0.0000
Ge 2.6018 2.6018 2.6377
As 2.6018 2.6018 0.0000
Br 0.0000 2.6018 2.6377
Br 2.6018 0.0000 2.6377
```

***

[11]
This record from Alexandria via LeMat-Bulk describes Ba2TbNb3O12 after structural relaxation. The functional is PBE-GGA.

Magnetic moment in μB/f.u.: 2.06
Energy relative to the elements, uncorrected in meV/atom: -2524
DOS(E_F) in states/eV/atom: 0.341
Symmetry: R-3m

```
18
Lattice="3.8273 2.2097 5.6070 -3.8273 2.2097 5.6070 0.0000 -4.4194 5.6070" Properties=species:S:1:pos:R:3 pbc="T T T"
Ba 0.0000 0.0000 2.0850
Ba 0.0000 0.0000 14.7361
Tb 0.0000 0.0000 8.4105
Nb -1.9137 -1.1048 5.6070
Nb -1.9136 1.1048 11.2141
Nb 0.0000 2.2097 5.6070
O -1.9379 -1.1189 7.6133
O 0.0000 -1.6571 5.7041
O -1.4351 0.8285 5.7041
O 0.0000 -2.2377 9.2078
O -1.9379 1.1189 9.2078
O -1.4351 -0.8285 11.1170
O 1.4351 0.8285 5.7041
O 1.9379 -1.1188 7.6133
O 0.0000 2.2377 7.6133
O 1.4351 -0.8285 11.1170
O 0.0000 1.6571 11.1170
O 1.9379 1.1189 9.2078
```

***

[12]
This record from Alexandria via LeMat-Bulk describes Mn2ReSi after structural relaxation. The functional is PBE-GGA.

Magnetic moment in μB/f.u.: 0.84
Energy relative to the elements, uncorrected in meV/atom: -150
DOS(E_F) in states/eV/atom: 1.076
Symmetry: Immm

```
8
Lattice="2.8882 0.0000 0.0000 0.0000 4.0742 0.0000 0.0000 0.0000 8.1976" Properties=species:S:1:pos:R:3 pbc="T T T"
Mn 0.0000 0.0000 1.9524
Mn 0.0000 0.0000 6.2452
Mn 1.4441 2.0371 2.1464
Mn 1.4441 2.0371 6.0512
Re 0.0000 2.0371 0.0000
Re 1.4441 0.0000 4.0988
Si 0.0000 2.0371 4.0988
Si 1.4441 0.0000 0.0000
```